16
Lattice="4.9943 0.0000 0.0000 0.0000 9.1644 0.0000 0.0000 0.0000 4.7408" Properties=species:S:1:pos:R:3 comment="CrInO2, relaxed, DFT PBE+U" total_energy_ev_per_atom=-6.341 pbc="T T T"
Cr 4.9212 3.2350 4.4309
Cr 0.0731 5.9294 2.0604
Cr 2.5703 7.8172 2.0604
Cr 2.4240 1.3472 4.4309
O 1.5475 9.1319 0.8545
O 3.4468 0.0325 3.2249
O 0.9497 4.5497 3.2249
O 4.0446 4.6147 0.8545
O 0.9634 7.3910 3.0709
O 4.0308 1.7734 0.7005
O 1.5337 2.8088 0.7005
O 3.4606 6.3555 3.0709
In 4.6291 7.9854 4.6801
In 0.3652 1.1790 2.3097
In 2.8624 3.4032 2.3097
In 2.1319 5.7612 4.6801